NbAlCo2 | the Alexandria database | PBE-GGA | relaxed; total DFT energy (no corrections) = -29.2 eV for the cell shown; volume = 53.3 Å³ per cell
1.0
-0.355 -2.645 -1.336
0.080 -1.913 3.767
-4.195 0.412 0.299
Nb Co Al
1 2 1
direct
0.500 0.500 0.500
0.000 0.000 0.500
0.000 0.500 0.000
0.500 0.000 0.000

Nb2AlCo | the Alexandria database | PBE-GGA | relaxed; total DFT energy (no corrections) = -30.8 eV for the cell shown; polymorph energy (0 for the lowest one) = 246 meV/atom; volume = 62.8 Å³ per cell
1.0
-4.177 0.197 1.555
-3.438 -0.752 -2.741
-2.406 -3.735 0.412
Nb Co Al
2 1 1
direct
0.250 0.250 0.250
0.750 0.750 0.750
0.500 0.500 0.500
0.000 0.000 0.000

NbAl3Co | the Alexandria database | PBE-GGA | relaxed; total DFT energy (no corrections) = -27.3 eV for the cell shown; polymorph energy (0 for the lowest one) = 0 meV/atom; volume = 82.8 Å³ per cell
1.0
4.358 0.000 0.000
0.000 4.358 0.000
0.000 0.000 4.358
Nb Co Al
1 1 3
direct
0.500 0.500 0.500
0.000 0.000 0.000
0.000 0.500 0.000
0.000 0.000 0.500
0.500 0.000 0.000

Nb2AlCo | the Alexandria database | PBE-GGA | relaxed; total DFT energy (no corrections) = -31.6 eV for the cell shown; polymorph energy (0 for the lowest one) = 39 meV/atom; volume = 62.3 Å³ per cell
1.0
4.002 0.000 0.000
0.000 3.945 0.000
0.000 0.000 3.945
Nb Co Al
2 1 1
direct
0.000 0.000 0.500
0.000 0.500 0.000
0.500 0.500 0.500
0.500 0.000 0.000

Nb2AlCo | the Alexandria database | PBE-GGA | relaxed; total DFT energy (no corrections) = -60.5 eV for the cell shown; polymorph energy (0 for the lowest one) = 382 meV/atom; volume = 133.8 Å³ per cell
1.0
-5.562 -1.895 -4.031
1.029 -6.821 1.787
-3.870 -4.057 0.949
Nb Co Al
4 2 2
direct
0.666 0.125 0.250
0.084 0.625 0.250
0.375 0.334 0.750
0.875 0.916 0.750
0.000 0.000 0.000
0.750 0.250 0.500
0.500 0.500 0.000
0.250 0.750 0.500

Nb2AlCo | the Alexandria database | PBE-GGA | relaxed; total DFT energy (no corrections) = -29.5 eV for the cell shown; polymorph energy (0 for the lowest one) = 573 meV/atom; volume = 67.4 Å³ per cell
1.0
-0.636 2.332 1.470
-2.575 1.151 -0.219
-4.160 -4.343 7.811
Nb Co Al
2 1 1
direct
0.094 0.094 0.719
0.906 0.906 0.281
0.500 0.500 0.500
0.000 0.000 0.000

NbAl2Co3 | the Alexandria database | PBE-GGA | relaxed; total DFT energy (no corrections) = -41.6 eV for the cell shown; volume = 74.9 Å³ per cell
1.0
-2.366 -0.503 1.424
1.469 -1.378 1.954
1.181 8.107 4.828
Nb Al Co
1 2 3
direct
0.500 0.500 0.500
0.500 0.500 0.844
0.500 0.500 0.156
0.000 0.000 0.000
0.000 0.000 0.692
0.000 0.000 0.308

NbAlCoOs | the Alexandria database | PBE-GGA | relaxed; total DFT energy (no corrections) = -33.8 eV for the cell shown; volume = 57.5 Å³ per cell
1.0
-1.292 -3.823 -1.579
2.568 -2.207 -2.704
1.916 -3.653 1.328
Co Nb Os Al
1 1 1 1
direct
0.250 0.250 0.250
0.000 0.000 0.000
0.750 0.750 0.750
0.500 0.500 0.500

NbAlCoPd | the Alexandria database | PBE-GGA | relaxed; total DFT energy (no corrections) = -27.5 eV for the cell shown; volume = 59.0 Å³ per cell
1.0
-4.256 -0.905 -0.407
-1.438 -2.227 -3.475
-1.415 -4.108 0.470
Nb Co Al Pd
1 1 1 1
direct
0.750 0.750 0.750
0.500 0.500 0.500
0.250 0.250 0.250
0.000 0.000 0.000

Nb2Al5Co2Rh | the Alexandria database | PBE-GGA | relaxed; total DFT energy (no corrections) = -130.2 eV for the cell shown; volume = 290.3 Å³ per cell
1.0
3.801 0.000 0.000
0.000 8.740 0.000
0.000 0.000 8.740
Nb Al Co Rh
4 10 4 2
direct
0.000 0.677 0.177
0.000 0.323 0.823
0.000 0.177 0.323
0.000 0.823 0.677
0.500 0.205 0.065
0.500 0.795 0.935
0.500 0.065 0.795
0.500 0.705 0.435
0.500 0.935 0.205
0.500 0.295 0.565
0.500 0.565 0.705
0.500 0.435 0.295
0.500 0.500 0.000
0.500 0.000 0.500
0.000 0.119 0.619
0.000 0.881 0.381
0.000 0.619 0.881
0.000 0.381 0.119
0.000 0.000 0.000
0.000 0.500 0.500

NbAlCoTc | the Alexandria database | PBE-GGA | relaxed; total DFT energy (no corrections) = -32.9 eV for the cell shown; volume = 57.1 Å³ per cell
1.0
-3.745 0.930 1.949
-0.671 -1.227 4.091
-0.121 2.957 3.151
Nb Co Tc Al
1 1 1 1
direct
0.750 0.750 0.750
0.500 0.500 0.500
0.000 0.000 0.000
0.250 0.250 0.250

NbAlVCo | the Alexandria database | PBE-GGA | relaxed; total DFT energy (no corrections) = -30.6 eV for the cell shown; volume = 57.5 Å³ per cell
1.0
4.331 0.000 0.000
2.166 3.751 0.000
2.166 1.250 3.536
Nb Co Al V
1 1 1 1
direct
0.750 0.750 0.750
0.000 0.000 0.000
0.250 0.250 0.250
0.500 0.500 0.500